# NdGa2Cl5

A relaxed structure of NdGa2Cl5 (PBE, the Alexandria database).

## Properties
Formation energy without anion corrections   -1500 meV/atom
E   -4.01 eV/atom

abc: 12.523 8.640 8.093
angles: 90.00 90.00 90.00
Space group Pnma (No. 62)
Asymmetric unit:
1 Nd 0.004 0.250 0.084 x4
2 Ga 0.176 0.508 0.524 x8
3 Cl 0.003 0.250 0.430 x4
4 Cl 0.081 0.545 0.163 x8
5 Cl 0.187 0.250 0.884 x4
6 Cl 0.212 0.750 0.832 x4

=====

# NdGaCl

A relaxed structure of NdGaCl (PBE, the Alexandria database).

## Properties
Formation energy without anion corrections   -1407 meV/atom
E   -4.62 eV/atom

abc: 7.285 4.207 11.107
angles: 90.00 102.71 90.00
Space group C2/m (No. 12)
Asymmetric unit:
1 Nd 0.066 0.000 0.197 x4
2 Ga 0.157 0.500 0.972 x4
3 Cl 0.217 0.000 0.654 x4

=====

# Nd2GaCl

A relaxed structure of Nd2GaCl (PBE, the Alexandria database).

## Properties
Relative energy among the computed polymorphs   0.000 eV per atom
Formation energy without anion corrections   -1071 meV/atom
E   -4.67 eV/atom

abc: 5.947 5.947 12.038
angles: 90.00 90.00 90.00
Space group Pmna (No. 53)
Asymmetric unit:
1 Nd 0.000 0.249 0.124 x4
2 Nd 0.000 0.251 0.626 x4
3 Ga 0.000 0.251 0.875 x4
4 Cl 0.000 0.249 0.375 x4

=====

# Nd2GaCl2

A relaxed structure of Nd2GaCl2 (PBE, the Alexandria database).

## Properties
Formation energy without anion corrections   -1453 meV/atom
E   -4.70 eV/atom

abc: 7.043 4.066 10.758
angles: 90.00 90.53 90.00
Space group C2/m (No. 12)
Asymmetric unit:
1 Nd 0.169 0.000 0.180 x4
2 Ga 0.000 0.500 0.000 x2
3 Cl 0.162 0.000 0.666 x4

=====

# Nd2GaCl

A relaxed structure of Nd2GaCl (PBE, the Alexandria database).

## Properties
Relative energy among the computed polymorphs   0.117 eV per atom
Formation energy without anion corrections   -954 meV/atom
E   -4.56 eV/atom

abc: 3.479 3.479 8.169
angles: 90.00 90.00 90.00
Space group P4/mmm (No. 123)
Asymmetric unit:
1 Nd 0.000 0.000 0.235 x2
2 Ga 0.500 0.500 0.000 x1
3 Cl 0.500 0.500 0.500 x1

=====

# Nd6GaCl8

A relaxed structure of Nd6GaCl8 (PBE, the Alexandria database).

## Properties
Formation energy without anion corrections   -1678 meV/atom
E   -4.77 eV/atom

abc: 7.1013 7.1013 30.7254
angles: 90.00 90.00 120.00
Space group R-3 (No. 148, hexagonal axes)
Asymmetric unit:
1 Nd 0.0000 0.3241 0.4458 x18
2 Ga 0.0000 0.0000 0.5000 x3
3 Cl 0.0000 0.0000 0.1667 x6
4 Cl 0.0001 0.3307 0.6086 x18